The following is a PBE-GGA calculation of a relaxed structure of TaV3Zn, from the Alexandria database.

Lattice parameters (Å, degrees): 4.4208 4.4208 4.4208 90.00 90.00 90.00
Atoms (fractional coordinates):
V1 0.0000 0.5000 0.0000
V2 0.5000 0.0000 0.0000
V3 0.0000 0.0000 0.5000
Zn1 0.0000 0.0000 0.0000
Ta1 0.5000 0.5000 0.5000

Properties
For the calculated formation energy, the calculation gives 1.28 eV per atom. The density of states at the Fermi level is 1.23 states/eV per atom. Its space-group type is No. 221. As for the calculated total energy: -6.820 eV/atom. The size of the total moment is 0.00 μB/atom. The value obtained for the energy relative to the lowest polymorph listed for this composition is 0 meV/atom.